First-principles (GGA-PBE) data for a relaxed Cr2PH crystal, as listed in Alexandria.

Values from the calculation:
- Final energy: -107.09 eV per cell
- Mass density: 5007 kg/m3
- Energy above the lowest structure with this stoichiometry: 0.1665 eV/atom

a b c (Å): 4.3716 4.3716 9.4390
angles (deg): 90.00 90.00 90.00
Last column: nearest neighbours and their distance in Å.
Space group I-42d (No. 122)
Inequivalent atoms, fractional coordinates:
Cr: 0.1311 0.2500 0.1250 [8 per cell]  2 H 1.71
P: 0.0000 0.0000 0.5000 [4 per cell]  4 Cr 2.28
H: 0.0000 0.0000 0.0000 [4 per cell]  4 Cr 1.71